Record 1
DFT (PBE-GGA) results for a relaxed Nd3Sm3DyS8 crystal.

Output
E_form (uncorrected)   -2055.2 meV/atom
M_tot   0.0 μB/cell
Volume   24.6 Å³ per atom

CIF file:
```
data_Nd3Sm3DyS8
_cell_length_a 8.0367
_cell_length_b 8.0367
_cell_length_c 19.7817
_cell_angle_alpha 90.00
_cell_angle_beta 90.00
_cell_angle_gamma 120.00
_symmetry_space_group_name_H-M 'R -3 m'
_symmetry_Int_Tables_number 166
_symmetry_space_group_name_Hall '-R 3 2"'
loop_
_atom_site_label
_atom_site_type_symbol
_atom_site_fract_x
_atom_site_fract_y
_atom_site_fract_z
_atom_site_occupancy
Nd1 Nd 0.0000 0.5000 0.0000 1
Sm1 Sm 0.0000 0.5000 0.5000 1
Dy1 Dy 0.0000 0.0000 0.5000 1
S1 S 0.0000 0.0000 0.2483 1
S2 S 0.0056 0.5028 0.2469 1
```


Record 2
DFT (PBE-GGA) results for a relaxed TiCo3H crystal.

Output
Excess energy over the best structure of this formula in the dataset   1.87 eV/f.u.
M_tot   5.7 μB/cell
Volume   10.5 Å³ per atom

CIF file:
```
data_TiCo3H
_cell_length_a 2.7854
_cell_length_b 2.7854
_cell_length_c 15.5585
_cell_angle_alpha 90.00
_cell_angle_beta 90.00
_cell_angle_gamma 120.00
_symmetry_space_group_name_H-M 'P 63/m m c'
_symmetry_Int_Tables_number 194
_symmetry_space_group_name_Hall '-P 6c 2c'
loop_
_atom_site_label
_atom_site_type_symbol
_atom_site_fract_x
_atom_site_fract_y
_atom_site_fract_z
_atom_site_occupancy
Ti1 Ti 0.0000 0.0000 0.0000 1
Co1 Co 0.0000 0.0000 0.2500 1
Co2 Co 0.3333 0.6667 0.1227 1
H1 H 0.3333 0.6667 0.2500 1
```


Record 3
DFT (PBE-GGA) results for a relaxed AlSi2Se crystal.

Output
E_form (uncorrected)   125.7 meV/atom
Excess energy over the best structure of this formula in the dataset   0.65 eV/f.u.
M_tot   0.0 μB/cell
Volume   17.7 Å³ per atom

CIF file:
```
data_AlSi2Se
_cell_length_a 5.053
_cell_length_b 5.481
_cell_length_c 5.120
_cell_angle_alpha 90.00
_cell_angle_beta 90.00
_cell_angle_gamma 90.00
_symmetry_space_group_name_H-M 'C m m m'
_symmetry_Int_Tables_number 65
_symmetry_space_group_name_Hall '-C 2 2'
loop_
_atom_site_label
_atom_site_type_symbol
_atom_site_fract_x
_atom_site_fract_y
_atom_site_fract_z
_atom_site_occupancy
Al1 Al 0.000 0.000 0.000 1
Si1 Si 0.000 0.218 0.500 1
Se1 Se 0.000 0.500 0.000 1
```


Record 4
DFT (PBE-GGA) results for a relaxed Ta3CdNi crystal.

Output
Energy of formation   0.8173 eV per atom
Excess energy over the best structure of this formula in the dataset   0.00 eV/f.u.
M_tot   0.0 μB/cell
Volume   19.9 Å³ per atom

CIF file:
```
data_Ta3CdNi
_cell_length_a 4.638
_cell_length_b 4.638
_cell_length_c 4.638
_cell_angle_alpha 90.00
_cell_angle_beta 90.00
_cell_angle_gamma 90.00
_symmetry_space_group_name_H-M 'P m -3 m'
_symmetry_Int_Tables_number 221
_symmetry_space_group_name_Hall '-P 4 2 3'
loop_
_atom_site_label
_atom_site_type_symbol
_atom_site_fract_x
_atom_site_fract_y
_atom_site_fract_z
_atom_site_occupancy
Ta1 Ta 0.000 0.000 0.500 1
Cd1 Cd 0.500 0.500 0.500 1
Ni1 Ni 0.000 0.000 0.000 1
```